Compound: MgFe5O6
Source: the Alexandria database
Functional: PBE with a Hubbard U
Structure: relaxed

a b c (Å): 5.340 5.353 5.390
angles (deg): 59.87 80.94 70.48
Positions (direct):
1 O 0.252 0.567 0.328
2 O 0.751 0.772 0.992
3 O 0.249 0.228 0.008
4 O 0.764 0.088 0.323
5 O 0.236 0.912 0.677
6 O 0.748 0.433 0.672
7 Fe 0.008 0.665 0.670
8 Fe 0.500 0.161 0.667
9 Fe 0.992 0.335 0.330
10 Fe 0.500 0.500 0.000
11 Fe 0.500 0.839 0.333
12 Mg 0.000 0.000 0.000

Raw total energy (eV per cell): -78.55
Crystal system: triclinic
Symmetry: P-1